Entry 1:
A plane-wave DFT calculation with GGA-PBE was carried out for crystalline SmErSiAu at its relaxed geometry.

Properties
The crystal system is cubic. The symmetry is No. 216. The calculated total energy is -5.136 eV per atom.

Lattice parameters (Å, degrees): 5.0803 5.0803 5.0803 60.00 60.00 60.00
Fractional coordinates of all 4 atoms:
Sm 0.0000 0.0000 0.0000
Er 0.5000 0.5000 0.5000
Si 0.7500 0.7500 0.7500
Au 0.2500 0.2500 0.2500



Entry 2:
A plane-wave DFT calculation with GGA-PBE was carried out for crystalline Cs2RbHfCl6 at its relaxed geometry.

Properties
The crystal system is trigonal. The symmetry is No. 166. The calculated total energy is -4.217 eV per atom.

Lattice parameters (Å, degrees): 15.9848 15.9848 15.9848 27.68 27.68 27.68
Fractional coordinates of all 20 atoms:
Cs 0.1402 0.1402 0.1402
Cs 0.3072 0.3072 0.3072
Cs 0.6928 0.6928 0.6928
Cs 0.8598 0.8598 0.8598
Rb 0.4140 0.4140 0.4140
Rb 0.5860 0.5860 0.5860
Hf 0.0000 0.0000 0.0000
Hf 0.5000 0.5000 0.5000
Cl 0.1542 0.6257 0.6257
Cl 0.1875 0.1875 0.7210
Cl 0.1875 0.7210 0.1875
Cl 0.2790 0.8125 0.8125
Cl 0.3743 0.3743 0.8458
Cl 0.3743 0.8458 0.3743
Cl 0.6257 0.1542 0.6257
Cl 0.6257 0.6257 0.1542
Cl 0.7210 0.1875 0.1875
Cl 0.8125 0.2790 0.8125
Cl 0.8125 0.8125 0.2790
Cl 0.8458 0.3743 0.3743